#one
A plane-wave DFT calculation with PBE-GGA was carried out for a relaxed NaLi2Er crystal.

The space group is P4/mmm (No. 123) and the conventional cell measures 3.4640, 3.4640 and 8.8854 Å, with angles of 90.00, 90.00 and 90.00 degrees. The asymmetric unit holds Na at (0.0000, 0.0000, 0.0000), Li at (0.5000, 0.5000, 0.2487) and Er at (0.0000, 0.0000, 0.5000).



#two
A plane-wave DFT calculation with PBE-GGA was carried out for a relaxed NaLi2Er crystal.

The space group is R-3m (No. 166, hexagonal axes) and the conventional cell measures 3.2710, 3.2710 and 35.9480 Å, with angles of 90.00, 90.00 and 120.00 degrees. The asymmetric unit holds Na at (0.0000, 0.0000, 0.0000), Li at (0.0000, 0.0000, 0.4147) and Er at (0.0000, 0.0000, 0.5000).



Winner for stability: #one



#one
A plane-wave DFT calculation with PBE-GGA was carried out for a relaxed NaLiEr crystal.

The space group is P4/nmm (No. 129, origin choice 2) and the conventional cell measures 3.4872, 3.4872 and 14.3839 Å, with angles of 90.00, 90.00 and 90.00 degrees. The asymmetric unit holds Na at (0.2500, 0.2500, 0.0988), Li at (0.2500, 0.2500, 0.7415) and Er at (0.2500, 0.2500, 0.4172).



#two
A plane-wave DFT calculation with PBE-GGA was carried out for a relaxed NaLiEr crystal.

The space group is P3m1 (No. 156) and the conventional cell measures 3.4015, 3.4015 and 8.6783 Å, with angles of 90.00, 90.00 and 120.00 degrees. The asymmetric unit holds Na at (0.0000, 0.0000, 0.0000), Li at (0.3333, 0.6667, 0.6667) and Er at (0.6667, 0.3333, 0.3612).



Winner for stability: #one



#one
A plane-wave DFT calculation with PBE-GGA was carried out for a relaxed LiEr2Nb crystal.

The space group is P4/mmm (No. 123) and the conventional cell measures 3.3550, 3.3550 and 8.7464 Å, with angles of 90.00, 90.00 and 90.00 degrees. The asymmetric unit holds Li at (0.0000, 0.0000, 0.0000), Er at (0.5000, 0.5000, 0.2692) and Nb at (0.0000, 0.0000, 0.5000).



#two
A plane-wave DFT calculation with PBE-GGA was carried out for a relaxed LiEr2Nb crystal.

The space group is R-3m (No. 166, hexagonal axes) and the conventional cell measures 3.1515, 3.1515 and 34.3773 Å, with angles of 90.00, 90.00 and 120.00 degrees. The asymmetric unit holds Li at (0.0000, 0.0000, 0.0000), Er at (0.0000, 0.0000, 0.4155) and Nb at (0.0000, 0.0000, 0.5000).



Winner for stability: #one



#one
A plane-wave DFT calculation with PBE-GGA was carried out for a relaxed LiNd2Er crystal.

The space group is P4/mmm (No. 123) and the conventional cell measures 3.6470, 3.6470 and 9.1744 Å, with angles of 90.00, 90.00 and 90.00 degrees. The asymmetric unit holds Li at (0.0000, 0.0000, 0.0000), Nd at (0.5000, 0.5000, 0.2312) and Er at (0.0000, 0.0000, 0.5000).



#two
A plane-wave DFT calculation with PBE-GGA was carried out for a relaxed LiNd2Er crystal.

The space group is R3m (No. 160, hexagonal axes) and the conventional cell measures 3.5591, 3.5591 and 34.3107 Å, with angles of 90.00, 90.00 and 120.00 degrees. The asymmetric unit holds Li at (0.0000, 0.0000, 0.0000), Nd at (0.0000, 0.0000, 0.2506), Nd at (0.0000, 0.0000, 0.4158) and Er at (0.0000, 0.0000, 0.8331).



Winner for stability: #one